VASP calculation (PBEsol) on an optimized crystal structure of FeAg2Mo.

Energy of formation in eV per atom: 0.60

a b c (Å): 5.049 5.049 5.049
angles (deg): 137.46 137.46 61.73
Sites, in units of the cell vectors:
Fe 0.000 0.000 0.000
Ag 0.250 0.750 0.500
Ag 0.750 0.250 0.500
Mo 0.500 0.500 0.000

VASP calculation (PBEsol) on an optimized crystal structure of TcPt3Br.

ΔE_f (raw) in meV/atom: 1669

a b c (Å): 4.627 4.627 4.627
angles (deg): 90.00 90.00 90.00
Sites, in units of the cell vectors:
Tc 0.000 0.000 0.000
Pt 0.000 0.500 0.500
Pt 0.500 0.000 0.500
Pt 0.500 0.500 0.000
Br 0.500 0.500 0.500

VASP calculation (PBEsol) on an optimized crystal structure of KMn2Zn3Si12O30.

ΔE_f (raw) in meV/atom: -2487

a b c (Å): 10.191 10.191 14.367
angles (deg): 90.00 90.00 120.00
Sites, in units of the cell vectors:
K 0.000 0.000 0.250
K 0.000 0.000 0.750
Mn 0.333 0.667 0.250
Mn 0.333 0.667 0.750
Mn 0.667 0.333 0.250
Mn 0.667 0.333 0.750
Zn 0.000 0.500 0.250
Zn 0.000 0.500 0.750
Zn 0.500 0.000 0.250
Zn 0.500 0.000 0.750
Zn 0.500 0.500 0.250
Zn 0.500 0.500 0.750
Si 0.115 0.352 0.110
Si 0.115 0.352 0.890
Si 0.115 0.763 0.390
Si 0.115 0.763 0.610
Si 0.237 0.352 0.390
Si 0.237 0.352 0.610
Si 0.237 0.885 0.110
Si 0.237 0.885 0.890
Si 0.352 0.115 0.390
Si 0.352 0.115 0.610
Si 0.352 0.237 0.110
Si 0.352 0.237 0.890
Si 0.648 0.763 0.110
Si 0.648 0.763 0.890
Si 0.648 0.885 0.390
Si 0.648 0.885 0.610
Si 0.763 0.115 0.110
Si 0.763 0.115 0.890
Si 0.763 0.648 0.390
Si 0.763 0.648 0.610
Si 0.885 0.237 0.390
Si 0.885 0.237 0.610
Si 0.885 0.648 0.110
Si 0.885 0.648 0.890
O 0.058 0.277 0.364
O 0.058 0.277 0.636
O 0.058 0.781 0.136
O 0.058 0.781 0.864
O 0.129 0.392 0.000
O 0.129 0.737 0.500
O 0.157 0.499 0.173
O 0.157 0.499 0.827
O 0.157 0.658 0.327
O 0.157 0.658 0.673
O 0.219 0.277 0.136
O 0.219 0.277 0.864
O 0.219 0.942 0.364
O 0.219 0.942 0.636
O 0.263 0.392 0.500
O 0.263 0.871 0.000
O 0.277 0.058 0.136
O 0.277 0.058 0.864
O 0.277 0.219 0.364
O 0.277 0.219 0.636
O 0.342 0.499 0.327
O 0.342 0.499 0.673
O 0.342 0.843 0.173
O 0.342 0.843 0.827
O 0.392 0.129 0.500
O 0.392 0.263 0.000
O 0.499 0.157 0.327
O 0.499 0.157 0.673
O 0.499 0.342 0.173
O 0.499 0.342 0.827
O 0.501 0.658 0.173
O 0.501 0.658 0.827
O 0.501 0.843 0.327
O 0.501 0.843 0.673
O 0.608 0.737 0.000
O 0.608 0.871 0.500
O 0.658 0.157 0.173
O 0.658 0.157 0.827
O 0.658 0.501 0.327
O 0.658 0.501 0.673
O 0.723 0.781 0.364
O 0.723 0.781 0.636
O 0.723 0.942 0.136
O 0.723 0.942 0.864
O 0.737 0.129 0.000
O 0.737 0.608 0.500
O 0.781 0.058 0.364
O 0.781 0.058 0.636
O 0.781 0.723 0.136
O 0.781 0.723 0.864
O 0.843 0.342 0.327
O 0.843 0.342 0.673
O 0.843 0.501 0.173
O 0.843 0.501 0.827
O 0.871 0.263 0.500
O 0.871 0.608 0.000
O 0.942 0.219 0.136
O 0.942 0.219 0.864
O 0.942 0.723 0.364
O 0.942 0.723 0.636

VASP calculation (PBEsol) on an optimized crystal structure of FeO.

ΔE_f (raw) in meV/atom: -834

a b c (Å): 3.002 3.002 3.002
angles (deg): 60.00 60.00 60.00
Sites, in units of the cell vectors:
Fe 0.000 0.000 0.000
O 0.500 0.500 0.500

VASP calculation (PBEsol) on an optimized crystal structure of Ta2CdPt.

Energy of formation in eV per atom: -0.09

a b c (Å): 5.121 5.121 5.121
angles (deg): 134.25 134.25 66.70
Sites, in units of the cell vectors:
Ta 0.250 0.750 0.500
Ta 0.750 0.250 0.500
Cd 0.000 0.000 0.000
Pt 0.500 0.500 0.000

VASP calculation (PBEsol) on an optimized crystal structure of KMo2As.

Energy of formation in eV per atom: 1.33

a b c (Å): 5.390 5.390 5.390
angles (deg): 137.02 137.02 62.40
Sites, in units of the cell vectors:
K 0.000 0.000 0.000
Mo 0.250 0.750 0.500
Mo 0.750 0.250 0.500
As 0.500 0.500 0.000

VASP calculation (PBEsol) on an optimized crystal structure of LiTl2Co.

Energy of formation in eV per atom: 0.26

a b c (Å): 8.754 8.754 8.754
angles (deg): 21.15 21.15 21.15
Sites, in units of the cell vectors:
Li 0.000 0.000 0.000
Tl 0.243 0.243 0.243
Tl 0.757 0.757 0.757
Co 0.500 0.500 0.500

VASP calculation (PBEsol) on an optimized crystal structure of MnPRh2.

Energy of formation in eV per atom: -0.15

a b c (Å): 4.540 4.540 4.540
angles (deg): 132.47 132.47 69.49
Sites, in units of the cell vectors:
Mn 0.000 0.000 0.000
P 0.750 0.250 0.500
Rh 0.250 0.750 0.500
Rh 0.500 0.500 0.000

VASP calculation (PBEsol) on an optimized crystal structure of GaCoN2.

ΔE_f (raw) in meV/atom: 233

a b c (Å): 6.044 6.044 6.044
angles (deg): 26.90 26.90 26.90
Sites, in units of the cell vectors:
Ga 0.000 0.000 0.000
Co 0.500 0.500 0.500
N 0.110 0.110 0.110
N 0.890 0.890 0.890

VASP calculation (PBEsol) on an optimized crystal structure of CrCoNi6.

Energy of formation in eV per atom: 0.03

a b c (Å): 6.019 6.019 9.831
angles (deg): 90.00 90.00 109.51
Sites, in units of the cell vectors:
Cr 0.000 0.000 0.250
Cr 0.000 0.000 0.750
Cr 0.248 0.752 0.000
Cr 0.752 0.248 0.000
Co 0.247 0.753 0.500
Co 0.500 0.500 0.252
Co 0.500 0.500 0.748
Co 0.753 0.247 0.500
Ni 0.000 0.000 0.000
Ni 0.000 0.000 0.500
Ni 0.125 0.376 0.125
Ni 0.125 0.376 0.875
Ni 0.126 0.377 0.375
Ni 0.126 0.377 0.625
Ni 0.250 0.750 0.250
Ni 0.250 0.750 0.750
Ni 0.376 0.125 0.125
Ni 0.376 0.125 0.875
Ni 0.377 0.126 0.375
Ni 0.377 0.126 0.625
Ni 0.500 0.500 0.000
Ni 0.500 0.500 0.500
Ni 0.623 0.874 0.375
Ni 0.623 0.874 0.625
Ni 0.624 0.875 0.125
Ni 0.624 0.875 0.875
Ni 0.750 0.250 0.250
Ni 0.750 0.250 0.750
Ni 0.874 0.623 0.375
Ni 0.874 0.623 0.625
Ni 0.875 0.624 0.125
Ni 0.875 0.624 0.875

VASP calculation (PBEsol) on an optimized crystal structure of KCo2Os.

Energy of formation in eV per atom: 1.48

a b c (Å): 4.353 4.353 4.353
angles (deg): 60.00 60.00 60.00
Sites, in units of the cell vectors:
K 0.000 0.000 0.000
Co 0.250 0.250 0.250
Co 0.750 0.750 0.750
Os 0.500 0.500 0.500

VASP calculation (PBEsol) on an optimized crystal structure of MnFeSbI2.

ΔE_f (raw) in meV/atom: 960

a b c (Å): 5.262 5.262 5.178
angles (deg): 90.00 90.00 90.00
Sites, in units of the cell vectors:
Mn 0.000 0.000 0.000
Fe 0.500 0.500 0.500
Sb 0.000 0.000 0.500
I 0.000 0.500 0.000
I 0.500 0.000 0.000

VASP calculation (PBEsol) on an optimized crystal structure of ZrScIn2Os.

Energy of formation in eV per atom: 1.76

a b c (Å): 5.117 5.117 4.582
angles (deg): 90.00 90.00 90.00
Sites, in units of the cell vectors:
Zr 0.000 0.000 0.000
Sc 0.000 0.000 0.500
In 0.000 0.500 0.500
In 0.500 0.000 0.500
Os 0.500 0.500 0.000

VASP calculation (PBEsol) on an optimized crystal structure of SiSnIrPt2.

ΔE_f (raw) in meV/atom: 1207

a b c (Å): 4.855 4.855 4.885
angles (deg): 90.00 90.00 90.00
Sites, in units of the cell vectors:
Si 0.000 0.000 0.000
Sn 0.500 0.500 0.000
Ir 0.500 0.500 0.500
Pt 0.000 0.500 0.500
Pt 0.500 0.000 0.500

VASP calculation (PBEsol) on an optimized crystal structure of CaZnPb.

Energy of formation in eV per atom: -0.32

a b c (Å): 4.685 4.685 3.883
angles (deg): 90.00 90.00 120.00
Sites, in units of the cell vectors:
Ca 0.000 0.000 0.000
Zn 0.667 0.333 0.559
Pb 0.333 0.667 0.470

VASP calculation (PBEsol) on an optimized crystal structure of Tb4H9.

a b c (Å): 6.306 6.306 6.306
angles (deg): 132.03 132.03 70.18
Sites, in units of the cell vectors:
Tb 0.000 0.500 0.500
Tb 0.247 0.247 0.000
Tb 0.500 0.000 0.500
Tb 0.753 0.753 0.000
H 0.000 0.000 0.000
H 0.130 0.130 0.515
H 0.130 0.616 0.000
H 0.384 0.384 0.515
H 0.384 0.870 0.000
H 0.616 0.130 0.000
H 0.616 0.616 0.485
H 0.870 0.384 0.000
H 0.870 0.870 0.485

VASP calculation (PBEsol) on an optimized crystal structure of RbTlF2.

ΔE_f (raw) in meV/atom: -2094

a b c (Å): 7.404 7.404 7.404
angles (deg): 131.39 131.39 71.20
Sites, in units of the cell vectors:
Rb 0.000 0.000 0.000
Rb 0.750 0.250 0.500
Tl 0.250 0.750 0.500
Tl 0.500 0.500 0.000
F 0.139 0.625 0.014
F 0.375 0.389 0.514
F 0.611 0.125 0.986
F 0.875 0.861 0.486

VASP calculation (PBEsol) on an optimized crystal structure of K2ZrCdH16C8O24.

a b c (Å): 9.071 9.071 9.071
angles (deg): 103.35 103.35 122.56
Sites, in units of the cell vectors:
K 0.000 0.000 0.000
K 0.750 0.250 0.500
Zr 0.250 0.750 0.500
Cd 0.500 0.500 0.000
H 0.029 0.182 0.655
H 0.050 0.620 0.926
H 0.056 0.126 0.429
H 0.125 0.283 0.354
H 0.229 0.875 0.158
H 0.372 0.944 0.070
H 0.380 0.306 0.431
H 0.527 0.374 0.345
H 0.626 0.971 0.153
H 0.694 0.125 0.074
H 0.698 0.628 0.571
H 0.717 0.072 0.842
H 0.818 0.473 0.847
H 0.874 0.302 0.930
H 0.875 0.950 0.569
H 0.928 0.771 0.646
C 0.271 0.545 0.721
C 0.282 0.059 0.764
C 0.296 0.519 0.236
C 0.451 0.729 0.274
C 0.455 0.176 0.726
C 0.481 0.718 0.777
C 0.824 0.549 0.279
C 0.941 0.704 0.223
O 0.126 0.805 0.304
O 0.136 0.184 0.368
O 0.148 0.533 0.606
O 0.177 0.874 0.678
O 0.195 0.499 0.322
O 0.231 0.864 0.047
O 0.233 0.431 0.789
O 0.254 0.144 0.867
O 0.278 0.387 0.133
O 0.458 0.852 0.385
O 0.467 0.073 0.615
O 0.501 0.823 0.696
O 0.521 0.384 0.454
O 0.555 0.767 0.198
O 0.569 0.357 0.802
O 0.613 0.746 0.891
O 0.616 0.070 0.137
O 0.643 0.445 0.211
O 0.816 0.184 0.953
O 0.816 0.769 0.632
O 0.856 0.722 0.109
O 0.927 0.542 0.394
O 0.930 0.067 0.546
O 0.933 0.479 0.863

VASP calculation (PBEsol) on an optimized crystal structure of MnSbTe2Ru.

ΔE_f (raw) in meV/atom: 1039

a b c (Å): 4.866 4.866 4.789
angles (deg): 90.00 90.00 90.00
Sites, in units of the cell vectors:
Mn 0.000 0.000 0.000
Sb 0.000 0.000 0.500
Te 0.000 0.500 0.000
Te 0.500 0.000 0.000
Ru 0.500 0.500 0.500

no.,total energy (Ry/atom)
1,-0.458
2,-0.377
3,-0.568
4,-0.584
5,-0.617
6,-0.450
7,-0.256
8,-0.596
9,-0.500
10,-0.502
11,-0.421
12,-0.324
13,-0.369
14,-0.407
15,-0.212
16,-0.334
17,-0.292
18,-0.475
19,-0.387